1.
# Gd2ErIr

A geometry-optimized Gd2ErIr structure (PBE, Alexandria via LeMat-Bulk).

- SG = R-3m
- magnetization (μB/cell) = 15.18
- calculated formation energy (eV/f.u.) = -1.115
- relative energy among the computed polymorphs (meV/atom) = 69
- ρ (g cm⁻³) = 9.29

Lattice parameters (Å, degrees): 9.603 9.603 9.603 23.18 23.18 23.18
Element x y z (fractional)
1 Gd 0.226 0.226 0.226
2 Gd 0.774 0.774 0.774
3 Er 0.000 0.000 0.000
4 Ir 0.500 0.500 0.500


2.
# HfTaWBr2

A geometry-optimized HfTaWBr2 structure (PBE, Alexandria via LeMat-Bulk).

- SG = P4/mmm
- energy relative to the elements, uncorrected (eV/atom) = 1.649
- magnetization (μB/cell) = 0.01
- relative energy among the computed polymorphs (meV/atom) = 0
- ρ (g cm⁻³) = 8.73

Lattice parameters (Å, degrees): 4.921 4.921 5.524 90.00 90.00 90.00
Element x y z (fractional)
1 Hf 0.000 0.000 0.000
2 Ta 0.500 0.500 0.500
3 W 0.000 0.000 0.500
4 Br 0.000 0.500 0.000
5 Br 0.500 0.000 0.000


3.
# Nb2NCl

A geometry-optimized Nb2NCl structure (PBE, Alexandria via LeMat-Bulk).

- SG = I-42d
- energy relative to the elements, uncorrected (eV/atom) = -0.142
- magnetization (μB/cell) = 0.00
- relative energy among the computed polymorphs (meV/atom) = 0
- ρ (g cm⁻³) = 5.62

Lattice parameters (Å, degrees): 7.111 7.111 7.111 141.37 141.37 55.78
Element x y z (fractional)
1 Nb 0.033 0.625 0.908
2 Nb 0.375 0.283 0.408
3 Nb 0.717 0.125 0.092
4 Nb 0.875 0.967 0.592
5 N 0.000 0.000 0.000
6 N 0.750 0.250 0.500
7 Cl 0.250 0.750 0.500
8 Cl 0.500 0.500 0.000